DFT (PBE) results for a relaxed Gd2AlGaPd4 crystal.

**SG**: P-3m1 (164)
**M_tot**: 0.001 μB per atom
**Calculated volume**: 19.3 Å³/atom
**Energy**: -5.51 eV/atom

Cell lengths 4.4039, 4.4039, 9.2106 Å; angles 90.00, 90.00, 120.00 degrees
Last column: nearest neighbours and their distance in Å.
Element x y z (fractional)
1 Gd 0.3333 0.6667 0.2512  8 Pd 2.98-3.04
2 Gd 0.6667 0.3333 0.7488  8 Pd 2.98-3.04
3 Al 0.0000 0.0000 0.0000  6 Pd 2.64
4 Ga 0.0000 0.0000 0.5000  6 Pd 2.65
5 Pd 0.3333 0.6667 0.5800  3 Ga 2.65, 3 Pd 2.94
6 Pd 0.3333 0.6667 0.9217  3 Al 2.64, 3 Pd 2.92
7 Pd 0.6667 0.3333 0.0783  3 Al 2.64, 3 Pd 2.92
8 Pd 0.6667 0.3333 0.4200  3 Ga 2.65, 3 Pd 2.94



DFT (PBE) results for a relaxed NaHoZnS3 crystal.

**SG**: Pnma (62)
**M_tot**: 0.000 μB per atom
**Calculated volume**: 21.0 Å³/atom
**Excess energy over the best structure of this formula in the dataset**: 19.2 meV/atom
**Energy**: -4.66 eV/atom

Cell lengths 11.1429, 3.9476, 11.4429 Å; angles 90.00, 90.00, 90.00 degrees
Last column: nearest neighbours and their distance in Å.
Element x y z (fractional)
1 Na 0.1523 0.2500 0.0055  5 S 2.88-2.92
2 Na 0.3477 0.7500 0.5055  5 S 2.88-2.92
3 Na 0.6523 0.2500 0.4945  5 S 2.88-2.92
4 Na 0.8477 0.7500 0.9945  5 S 2.88-2.92
5 Ho 0.0274 0.2500 0.6758  6 S 2.74-2.88
6 Ho 0.4726 0.7500 0.1758  6 S 2.74-2.88
7 Ho 0.5274 0.2500 0.8242  6 S 2.74-2.88
8 Ho 0.9726 0.7500 0.3242  6 S 2.74-2.88
9 Zn 0.2454 0.2500 0.2913  4 S 2.31-2.37
10 Zn 0.2546 0.7500 0.7913  4 S 2.31-2.37
11 Zn 0.7454 0.2500 0.2087  4 S 2.31-2.37
12 Zn 0.7546 0.7500 0.7087  4 S 2.31-2.37
13 S 0.0544 0.7500 0.8432  1 Zn 2.31
14 S 0.0996 0.2500 0.4342  1 Zn 2.31
15 S 0.2197 0.7500 0.1792  2 Zn 2.37
16 S 0.2803 0.2500 0.6792  2 Zn 2.37
17 S 0.4004 0.7500 0.9342  1 Zn 2.31
18 S 0.4456 0.2500 0.3432  1 Zn 2.31
19 S 0.5544 0.7500 0.6568  1 Zn 2.31
20 S 0.5996 0.2500 0.0658  1 Zn 2.31
21 S 0.7197 0.7500 0.3208  2 Zn 2.37
22 S 0.7803 0.2500 0.8208  2 Zn 2.37
23 S 0.9004 0.7500 0.5658  1 Zn 2.31
24 S 0.9456 0.2500 0.1568  1 Zn 2.31